# TaZnAu GGA-PBE optimized geometry
data_TaZnAu
_cell_length_a 2.9164
_cell_length_b 2.9164
_cell_length_c 6.9735
_cell_angle_alpha 90.00
_cell_angle_beta 90.00
_cell_angle_gamma 120.00
_space_group_name_H-M_alt 'P 3 m 1'
_space_group_IT_number 156
loop_
_space_group_symop_operation_xyz
'x,y,z'
'-y,x-y,z'
'-x+y,-x,z'
'-y,-x,z'
'-x+y,y,z'
'x,x-y,z'
loop_
_atom_site_label
_atom_site_fract_x
_atom_site_fract_y
_atom_site_fract_z
Ta1 0.0000 0.0000 0.0000
Zn1 0.6667 0.3333 0.3350
Au1 0.3333 0.6667 0.6581
# E_form	54	meV/atom
# total moment	0.00	μB/cell
# volume	17.12	A^3/atom

***

# PrHoSc2 GGA-PBE optimized geometry
data_PrHoSc2
_cell_length_a 4.994
_cell_length_b 4.994
_cell_length_c 9.221
_cell_angle_alpha 90.00
_cell_angle_beta 90.00
_cell_angle_gamma 90.00
_space_group_name_H-M_alt 'I 4/m m m'
_space_group_IT_number 139
_space_group_name_Hall '-I 4 2'
loop_
_atom_site_label
_atom_site_fract_x
_atom_site_fract_y
_atom_site_fract_z
Pr1 0.000 0.000 0.000
Ho1 0.000 0.000 0.500
Sc1 0.000 0.500 0.250
# E_form	58	meV/atom
# total moment	0.00	μB/cell
# volume	28.74	A^3/atom